First-principles (PBE) data for an optimized crystal structure of Ba4TeI5, as listed in the Alexandria database.

```
Ba4TeI5
1.0
4.865 0.000 -1.338
-1.038 8.940 -3.776
0.847 -2.030 12.594
Ba Te I
4 1 5
Direct
0.665 0.223 0.331 Ba
0.001 0.757 0.002 Ba
0.335 0.777 0.669 Ba
0.999 0.243 0.998 Ba
0.500 0.000 0.000 Te
0.166 0.983 0.332 I
0.168 0.483 0.336 I
0.832 0.517 0.664 I
0.500 0.500 0.000 I
0.834 0.017 0.668 I
```

Output
Its space group is C2/m. For the total energy, the calculation gives -35.38 eV/cell. The calculation puts the energy relative to the elements, uncorrected at -1.680 eV per atom. The value obtained for the density of states at the Fermi level is 0.418 states/eV per atom. Its total magnetic moment is 0.0 μB per cell.

First-principles (PBE) data for an optimized crystal structure of Ba6Te5I, as listed in the Alexandria database.

```
Ba6Te5I
1.0
-7.675 3.963 0.556
-5.747 -5.346 3.663
-1.019 -0.031 8.597
Ba Te I
6 5 1
Direct
0.743 0.086 0.345 Ba
0.257 0.569 0.345 Ba
0.255 0.260 0.000 Ba
0.745 0.740 0.000 Ba
0.743 0.431 0.655 Ba
0.257 0.914 0.655 Ba
0.500 0.163 0.675 Te
0.000 0.333 0.335 Te
0.500 0.500 0.000 Te
0.000 0.667 0.665 Te
0.500 0.837 0.325 Te
0.000 0.000 0.000 I
```

Output
Its space group is C2/m. For the total energy, the calculation gives -49.65 eV/cell. The calculation puts the energy relative to the elements, uncorrected at -1.738 eV per atom. The value obtained for the density of states at the Fermi level is 0.264 states/eV per atom. Its total magnetic moment is 0.0 μB per cell.

First-principles (PBE) data for an optimized crystal structure of BaTeI, as listed in the Alexandria database.

```
BaTeI
1.0
-2.989 -4.603 0.327
6.454 -0.896 0.158
-1.768 1.749 8.476
Te I Ba
2 2 2
Direct
0.700 0.400 0.736 Te
0.279 0.558 0.825 Te
0.942 0.884 0.462 I
0.600 0.200 0.174 I
0.002 0.004 0.877 Ba
0.234 0.468 0.432 Ba
```

Output
Its space group is Cm. For the total energy, the calculation gives -21.52 eV/cell. The calculation puts the energy relative to the elements, uncorrected at -1.383 eV per atom. The value obtained for the energy above the most stable polymorph in this dataset is 0.104 eV/atom. Its total magnetic moment is 0.0 μB per cell.

First-principles (PBE) data for an optimized crystal structure of BaTeI2, as listed in the Alexandria database.

```
BaTeI2
1.0
4.931 -1.902 3.034
0.561 -5.873 1.526
4.138 -3.493 -2.795
I Te Ba
2 1 1
Direct
0.250 0.250 0.250 I
0.750 0.750 0.750 I
0.000 0.000 0.000 Te
0.500 0.500 0.500 Ba
```

Output
Its space group is Fm-3m. For the total energy, the calculation gives -11.42 eV/cell. The calculation puts the energy relative to the elements, uncorrected at -0.813 eV per atom. The value obtained for the energy above the most stable polymorph in this dataset is 0.043 eV/atom. The value obtained for the density of states at the Fermi level is 1.205 states/eV per atom. Its total magnetic moment is 2.0 μB per cell.

First-principles (PBE) data for an optimized crystal structure of Ba6Te3I2, as listed in the Alexandria database.

```
Ba6Te3I2
1.0
8.290 0.000 2.472
4.145 7.467 1.236
0.465 0.000 8.551
Ba Te I
6 3 2
Direct
0.415 0.678 0.758 Ba
0.734 0.000 0.765 Ba
0.093 0.322 0.758 Ba
0.266 0.000 0.235 Ba
0.585 0.322 0.242 Ba
0.907 0.678 0.242 Ba
0.000 0.000 0.000 Te
0.327 0.346 0.000 Te
0.673 0.654 0.000 Te
0.165 0.670 0.500 I
0.835 0.330 0.500 I
```

Output
Its space group is C2/m. For the total energy, the calculation gives -39.96 eV/cell. The calculation puts the energy relative to the elements, uncorrected at -1.445 eV per atom. The value obtained for the density of states at the Fermi level is 0.489 states/eV per atom. Its total magnetic moment is 0.0 μB per cell.

First-principles (PBE) data for an optimized crystal structure of BaTe3I, as listed in the Alexandria database.

```
BaTe3I
1.0
5.913 0.000 0.000
0.000 5.913 0.000
0.000 0.000 5.913
I Te Ba
1 3 1
Direct
0.000 0.000 0.000 I
0.000 0.500 0.000 Te
0.000 0.000 0.500 Te
0.500 0.000 0.000 Te
0.500 0.500 0.500 Ba
```

Output
Its space group is Pm-3m. For the total energy, the calculation gives -14.17 eV/cell. The calculation puts the energy relative to the elements, uncorrected at -0.254 eV per atom. The value obtained for the energy above the most stable polymorph in this dataset is 0.000 eV/atom. The value obtained for the density of states at the Fermi level is 1.187 states/eV per atom. Its total magnetic moment is 0.0 μB per cell.